[1]
The following is a GGA-PBE calculation of a geometry-optimized PuOsPb structure, from Alexandria via LeMat-Bulk.

a = 4.2810 Å, b = 4.3214 Å, c = 7.4358 Å
α = 90.00°, β = 90.00°, γ = 90.00°
Space group Pmmn (No. 59, origin choice 2)
Unique sites:
1 Pu 0.2500 0.2500 0.1358 [2 per cell]
2 Os 0.2500 0.2500 0.7919 [2 per cell]
3 Pb 0.2500 0.7500 0.4999 [2 per cell]

Computed properties:
- formation energy from the elements (eV per formula unit) = 1.10
- DFT total energy (eV/atom) = -9.3892

=====

[2]
The following is a GGA-PBE calculation of a geometry-optimized Pu3OsPb structure, from Alexandria via LeMat-Bulk.

a = 5.2968 Å, b = 5.2968 Å, c = 5.2968 Å
α = 90.00°, β = 90.00°, γ = 90.00°
Space group Pm-3m (No. 221)
Unique sites:
1 Pu 0.0000 0.0000 0.5000 [3 per cell]
2 Os 0.0000 0.0000 0.0000 [1 per cell]
3 Pb 0.5000 0.5000 0.5000 [1 per cell]

Computed properties:
- formation energy from the elements (eV per formula unit) = 0.56
- DFT total energy (eV/atom) = -11.4746